First-principles (GGA-PBE) data for a relaxed structure of ZrNpPaSn, as listed in Alexandria via LeMat-Bulk.

Unit cell a=5.124 b=5.124 c=5.124 alpha=60.00 beta=60.00 gamma=60.00
Atoms (fractional coordinates):
Zr  0.000  0.000  0.000
Np  0.750  0.750  0.750
Pa  0.500  0.500  0.500
Sn  0.250  0.250  0.250

Its crystal system is cubic. For the energy of formation from the pure elements, the calculation gives 73 meV/atom. The space-group type is No. 216.

---

First-principles (GGA-PBE) data for a relaxed structure of SrBiAu, as listed in Alexandria via LeMat-Bulk.

Unit cell a=5.887 b=5.887 c=6.791 alpha=90.00 beta=90.00 gamma=131.14
Atoms (fractional coordinates):
Sr  0.196  0.804  0.750
Sr  0.804  0.196  0.250
Bi  0.500  0.500  0.000
Bi  0.500  0.500  0.500
Au  0.106  0.894  0.250
Au  0.894  0.106  0.750

Its crystal system is orthorhombic. For the energy of formation from the pure elements, the calculation gives -645 meV/atom. The space-group type is No. 63.

---

First-principles (GGA-PBE) data for a relaxed structure of OsS5, as listed in Alexandria via LeMat-Bulk.

Unit cell a=4.849 b=9.860 c=6.536 alpha=90.00 beta=102.08 gamma=90.00
Atoms (fractional coordinates):
Os  0.038  0.250  0.297
Os  0.962  0.750  0.703
S  0.048  0.594  0.462
S  0.048  0.906  0.462
S  0.329  0.097  0.180
S  0.329  0.403  0.180
S  0.389  0.750  0.903
S  0.611  0.250  0.097
S  0.671  0.597  0.820
S  0.671  0.903  0.820
S  0.952  0.094  0.538
S  0.952  0.406  0.538

Its crystal system is monoclinic. The space-group type is No. 11. The raw formation energy is 0.09 eV/atom.

---

| no. | total magnetization (Bohr magnetons per cell) | calculated total energy (Ry/atom) |
| --- | --- | --- |
| 1 | 6.28 | -0.6376 |
| 2 | 0.00 | -0.2640 |
| 3 | 0.00 | -0.3837 |